Record 1
Entry from Alexandria: a geometry-optimized SnBrF2 structure (PBEsol).

As for the total energy: -45.50 eV/cell. Its formation energy (no corrections) is -1295 meV/atom.

The space group is R-3m (No. 166, hexagonal axes) and the conventional cell measures 3.7445, 3.7445 and 26.4845 Å, with angles of 90.00, 90.00 and 120.00 degrees. Symmetry generates all atoms from Sn at (0.0000, 0.0000, 0.0000), Br at (0.0000, 0.0000, 0.5000) and F at (0.0000, 0.0000, 0.3690).

=====

Record 2
Entry from Alexandria: a geometry-optimized TaZnHg2 structure (PBEsol).

The value obtained for the formation energy is 0.237 eV/atom. As for the total energy: -28.64 eV/cell.

The space group is Cmmm (No. 65) and the conventional cell measures 5.840, 8.669 and 2.890 Å, with angles of 90.00, 90.00 and 90.00 degrees. Symmetry generates all atoms from Ta at (0.000, 0.000, 0.000), Zn at (0.000, 0.500, 0.000) and Hg at (0.250, 0.250, 0.500).

=====

Record 3
Entry from Alexandria: a geometry-optimized LiZrFe2 structure (PBEsol).

The value obtained for the formation energy is 0.198 eV/atom. As for the total energy: -28.19 eV/cell.

The space group is Pmmm (No. 47) and the conventional cell measures 3.612, 3.831 and 3.848 Å, with angles of 90.00, 90.00 and 90.00 degrees. Symmetry generates all atoms from Li at (0.000, 0.000, 0.000), Zr at (0.000, 0.500, 0.500), Fe at (0.500, 0.000, 0.500) and Fe at (0.500, 0.500, 0.000).